1.
The following is a DFT calculation (PBE-GGA) of an optimized crystal structure of H2Pt2Au.

**Total moment**: 0.00 μB per formula unit
**Polymorph energy (0 for the lowest one)**: 0 meV/atom
**Total energy**: -4.3178 eV/atom
**N(E_F)**: 1.166 states/eV/f.u.

Cell and atoms, written as POSCAR:
```
H2Pt2Au
1.0
3.262 0.000 0.000
0.000 3.262 0.000
0.000 0.000 10.587
H Pt Au
4 4 2
direct
0.000 0.500 0.250
0.000 0.500 0.750
0.500 0.000 0.250
0.500 0.000 0.750
0.000 0.000 0.156
0.000 0.000 0.844
0.500 0.500 0.344
0.500 0.500 0.656
0.000 0.000 0.500
0.500 0.500 0.000
```



2.
The following is a DFT calculation (PBE-GGA) of an optimized crystal structure of CuBiTeSe.

**Formation energy from raw total energies**: -0.76 eV per formula unit
**Total moment**: 0.00 μB per formula unit
**Total energy**: -3.8412 eV/atom
**N(E_F)**: 0.208 states/eV/f.u.

Cell and atoms, written as POSCAR:
```
CuBiTeSe
1.0
2.136 1.233 14.419
-2.136 1.233 14.419
0.000 -2.467 14.419
Cu Bi Te Se
2 2 2 2
direct
0.185 0.185 0.185
0.815 0.815 0.815
0.407 0.407 0.407
0.593 0.593 0.593
0.124 0.124 0.124
0.876 0.876 0.876
0.293 0.293 0.293
0.707 0.707 0.707
```



3.
The following is a DFT calculation (PBE-GGA) of an optimized crystal structure of TmAlNiOs.

**Total moment**: 0.00 μB per formula unit
**Energy relative to the elements**: -0.335 eV per atom
**Total energy**: -6.6410 eV/atom
**N(E_F)**: 1.968 states/eV/f.u.

Cell and atoms, written as POSCAR:
```
TmAlNiOs
1.0
6.337 0.000 0.000
0.000 6.337 0.000
0.000 0.000 6.337
Tm Al Ni Os
4 4 4 4
direct
0.000 0.000 0.000
0.000 0.500 0.500
0.500 0.000 0.500
0.500 0.500 0.000
0.000 0.000 0.500
0.000 0.500 0.000
0.500 0.000 0.000
0.500 0.500 0.500
0.250 0.250 0.750
0.250 0.750 0.250
0.750 0.250 0.250
0.750 0.750 0.750
0.250 0.250 0.250
0.250 0.750 0.750
0.750 0.250 0.750
0.750 0.750 0.250
```



4.
The following is a DFT calculation (PBE-GGA) of an optimized crystal structure of Sc2ZnSe.

**Formation energy from raw total energies**: -3.22 eV per formula unit
**Total moment**: 0.00 μB per formula unit
**Polymorph energy (0 for the lowest one)**: 170 meV/atom
**Total energy**: -5.1596 eV/atom
**N(E_F)**: 3.195 states/eV/f.u.

Cell and atoms, written as POSCAR:
```
Sc2ZnSe
1.0
4.080 0.000 0.000
0.000 3.672 0.000
0.000 0.000 10.473
Sc Zn Se
4 2 2
direct
0.000 0.000 0.000
0.000 0.500 0.500
0.500 0.000 0.275
0.500 0.500 0.775
0.500 0.000 0.532
0.500 0.500 0.032
0.000 0.000 0.731
0.000 0.500 0.231
```



5.
The following is a DFT calculation (PBE-GGA) of an optimized crystal structure of PmLuCuPd.

**Total moment**: 0.00 μB per formula unit
**Energy relative to the elements**: -0.544 eV per atom
**Total energy**: -5.1846 eV/atom
**N(E_F)**: 2.465 states/eV/f.u.

Cell and atoms, written as POSCAR:
```
PmLuCuPd
1.0
7.014 0.000 0.000
0.000 7.014 0.000
0.000 0.000 7.014
Pm Lu Cu Pd
4 4 4 4
direct
0.000 0.000 0.000
0.000 0.500 0.500
0.500 0.000 0.500
0.500 0.500 0.000
0.000 0.000 0.500
0.000 0.500 0.000
0.500 0.000 0.000
0.500 0.500 0.500
0.250 0.250 0.250
0.250 0.750 0.750
0.750 0.250 0.750
0.750 0.750 0.250
0.250 0.250 0.750
0.250 0.750 0.250
0.750 0.250 0.250
0.750 0.750 0.750
```



6.
The following is a DFT calculation (PBE-GGA) of an optimized crystal structure of Nb3Te4.

**Formation energy from raw total energies**: -1.28 eV per formula unit
**Total moment**: 0.00 μB per formula unit
**Polymorph energy (0 for the lowest one)**: 292 meV/atom
**Total energy**: -6.2933 eV/atom
**N(E_F)**: 4.049 states/eV/f.u.

Cell and atoms, written as POSCAR:
```
Nb3Te4
1.0
12.041 0.000 0.000
-6.020 10.428 0.000
0.000 0.000 3.526
Nb Te
6 8
direct
0.076 0.478 0.250
0.402 0.924 0.250
0.478 0.402 0.750
0.522 0.598 0.250
0.598 0.076 0.750
0.924 0.522 0.750
0.077 0.718 0.250
0.282 0.358 0.250
0.333 0.667 0.250
0.358 0.077 0.750
0.642 0.923 0.250
0.667 0.333 0.750
0.718 0.642 0.750
0.923 0.282 0.750
```



7.
The following is a DFT calculation (PBE-GGA) of an optimized crystal structure of LiAcPmBe.

**Total moment**: 0.00 μB per formula unit
**Energy relative to the elements**: 0.224 eV per atom
**Total energy**: -3.4008 eV/atom
**N(E_F)**: 5.854 states/eV/f.u.

Cell and atoms, written as POSCAR:
```
LiAcPmBe
1.0
7.508 0.000 0.000
0.000 7.508 0.000
0.000 0.000 7.508
Li Ac Pm Be
4 4 4 4
direct
0.000 0.000 0.000
0.000 0.500 0.500
0.500 0.000 0.500
0.500 0.500 0.000
0.250 0.250 0.750
0.250 0.750 0.250
0.750 0.250 0.250
0.750 0.750 0.750
0.250 0.250 0.250
0.250 0.750 0.750
0.750 0.250 0.750
0.750 0.750 0.250
0.000 0.000 0.500
0.000 0.500 0.000
0.500 0.000 0.000
0.500 0.500 0.500
```



8.
The following is a DFT calculation (PBE-GGA) of an optimized crystal structure of AgPt2Br.

**Formation energy from raw total energies**: 1.45 eV per formula unit
**Total moment**: 0.00 μB per formula unit
**Polymorph energy (0 for the lowest one)**: 162 meV/atom
**Total energy**: -3.7890 eV/atom
**N(E_F)**: 1.140 states/eV/f.u.

Cell and atoms, written as POSCAR:
```
AgPt2Br
1.0
3.318 0.000 0.000
0.000 4.579 0.000
0.000 0.000 11.109
Ag Pt Br
2 4 2
direct
0.000 0.000 0.000
0.500 0.500 0.500
0.000 0.000 0.457
0.000 0.500 0.136
0.500 0.000 0.636
0.500 0.500 0.957
0.000 0.500 0.781
0.500 0.000 0.281
```



9.
The following is a DFT calculation (PBE-GGA) of an optimized crystal structure of Zr3HSe.

**Total moment**: 0.00 μB per formula unit
**Polymorph energy (0 for the lowest one)**: 191 meV/atom
**Total energy**: -6.8511 eV/atom
**N(E_F)**: 4.825 states/eV/f.u.

Cell and atoms, written as POSCAR:
```
Zr3HSe
1.0
4.371 0.000 0.000
0.000 4.371 0.000
0.000 0.000 4.371
Zr H Se
3 1 1
direct
0.000 0.000 0.500
0.000 0.500 0.000
0.500 0.000 0.000
0.000 0.000 0.000
0.500 0.500 0.500
```



10.
The following is a DFT calculation (PBE-GGA) of an optimized crystal structure of Co3Os.

**Total moment**: 4.15 μB per formula unit
**Energy relative to the elements**: 0.112 eV per atom
**Total energy**: -8.0251 eV/atom
**N(E_F)**: 4.929 states/eV/f.u.

Cell and atoms, written as POSCAR:
```
Co3Os
1.0
4.453 0.000 0.000
0.000 8.253 0.000
0.000 0.000 5.128
Co Os
12 4
direct
0.083 0.250 0.135
0.248 0.501 0.879
0.248 0.999 0.879
0.252 0.001 0.379
0.252 0.499 0.379
0.417 0.750 0.635
0.583 0.250 0.365
0.748 0.501 0.621
0.748 0.999 0.621
0.752 0.001 0.121
0.752 0.499 0.121
0.917 0.750 0.865
0.082 0.250 0.624
0.418 0.750 0.124
0.582 0.250 0.876
0.918 0.750 0.376
```



11.
The following is a DFT calculation (PBE-GGA) of an optimized crystal structure of CeNdHo2In4.

**Total moment**: 0.92 μB per formula unit
**Energy relative to the elements**: -0.434 eV per atom
**Total energy**: -4.2857 eV/atom
**N(E_F)**: 8.915 states/eV/f.u.

Cell and atoms, written as POSCAR:
```
CeNdHo2In4
1.0
2.691 1.554 8.817
-2.691 1.554 8.817
0.000 -3.108 8.817
Ce Nd Ho In
1 1 2 4
direct
0.000 0.000 0.000
0.500 0.500 0.500
0.250 0.250 0.250
0.750 0.750 0.750
0.125 0.125 0.125
0.375 0.375 0.375
0.625 0.625 0.625
0.875 0.875 0.875
```



12.
The following is a DFT calculation (PBE-GGA) of an optimized crystal structure of La2MgGaRu.

**Total moment**: 0.00 μB per formula unit
**Polymorph energy (0 for the lowest one)**: 0 meV/atom
**Energy relative to the elements**: -0.254 eV per atom
**Total energy**: -5.0046 eV/atom
**N(E_F)**: 4.301 states/eV/f.u.

Cell and atoms, written as POSCAR:
```
La2MgGaRu
1.0
5.451 0.000 0.000
0.000 5.451 0.000
0.000 0.000 4.963
La Mg Ga Ru
2 1 1 1
direct
0.000 0.500 0.000
0.500 0.000 0.000
0.000 0.000 0.500
0.500 0.500 0.500
0.500 0.500 0.000
```